{"formula": "Y2MnVS", "functional": "PBE", "state": "optimized geometry", "cell": [[5.337, 0.000, 0.000], [0.000, 4.350, 0.000], [0.000, 0.000, 5.337]], "species": ["Y", "Y", "S", "Mn", "V"], "fractional_positions": [[0.500, 0.000, 0.000], [0.000, 0.000, 0.500], [0.000, 0.500, 0.000], [0.500, 0.500, 0.500], [0.000, 0.000, 0.000]], "spacegroup": "No. 123", "formation_energy_uncorrected_mev_per_atom": 358, "final_energy_ev_per_atom": -6.71, "de_polymorph_ev_per_atom": 0.2760}